10
Lattice="1.658 -9.825 0.000 1.658 9.825 0.000 0.000 0.000 6.293" Properties=species:S:1:pos:R:3 comment="Rb2FeN2 (PBE, relaxed)" magmom_total_mub_per_cell=0.0 mass_density_g_cm3=4.13 formation_energy_uncorrected_ev_per_atom=0.079 pbc="T T T"
Rb 1.658 9.264 3.147
Rb 1.658 5.910 4.138
Rb 1.658 -5.910 0.992
Rb 1.658 -9.264 0.000
Fe 1.658 2.556 3.684
Fe 1.658 -2.556 0.538
N 1.658 6.901 1.126
N 1.658 1.772 2.274
N 1.658 -1.772 5.421
N 1.658 -6.901 4.273



5
Lattice="5.824 0.000 0.000 0.000 5.824 0.000 0.000 0.000 5.824" Properties=species:S:1:pos:R:3 comment="Rb3FeN (PBE, relaxed)" magmom_total_mub_per_cell=3.1 mass_density_g_cm3=2.74 formation_energy_uncorrected_ev_per_atom=1.098 polymorph_energy_ev_per_fu=0.00 pbc="T T T"
Rb 0.000 0.000 2.912
Rb 0.000 2.912 0.000
Rb 2.912 0.000 0.000
Fe 2.912 2.912 2.912
N 0.000 0.000 0.000



5
Lattice="5.112 0.000 0.000 0.000 5.112 0.000 0.000 0.000 3.502" Properties=species:S:1:pos:R:3 comment="RbFeS2N (PBE, relaxed)" magmom_total_mub_per_cell=1.6 mass_density_g_cm3=3.98 formation_energy_uncorrected_ev_per_atom=0.179 polymorph_energy_ev_per_fu=0.00 pbc="T T T"
Rb 0.000 0.000 0.000
Fe 2.556 2.556 1.751
S 0.000 2.556 1.751
S 2.556 0.000 1.751
N 2.556 2.556 0.000



5
Lattice="5.557 0.000 0.000 0.000 5.557 0.000 0.000 0.000 4.413" Properties=species:S:1:pos:R:3 comment="RbFeS2N (PBE, relaxed)" magmom_total_mub_per_cell=2.3 mass_density_g_cm3=2.67 formation_energy_uncorrected_ev_per_atom=2.302 polymorph_energy_ev_per_fu=10.62 pbc="T T T"
Rb 0.000 0.000 0.000
Fe 2.779 2.779 2.206
S 0.000 2.779 0.000
S 2.779 0.000 0.000
N 0.000 0.000 2.206



5
Lattice="4.336 0.000 0.000 0.000 4.336 0.000 0.000 0.000 5.083" Properties=species:S:1:pos:R:3 comment="RbFeTeN2 (PBE, relaxed)" magmom_total_mub_per_cell=5.7 mass_density_g_cm3=5.16 formation_energy_uncorrected_ev_per_atom=1.164 polymorph_energy_ev_per_fu=0.00 pbc="T T T"
Rb 0.000 0.000 0.000
Fe 2.168 2.168 2.541
Te 2.168 2.168 0.000
N 0.000 2.168 2.541
N 2.168 0.000 2.541



5
Lattice="5.969 0.000 0.000 0.000 5.969 0.000 0.000 0.000 3.433" Properties=species:S:1:pos:R:3 comment="RbFeTe2N (PBE, relaxed)" magmom_total_mub_per_cell=0.9 mass_density_g_cm3=5.57 formation_energy_uncorrected_ev_per_atom=0.055 polymorph_energy_ev_per_fu=0.00 pbc="T T T"
Rb 0.000 0.000 0.000
Fe 2.985 2.985 1.716
Te 0.000 2.985 1.716
Te 2.985 0.000 1.716
N 2.985 2.985 0.000



5
Lattice="6.317 0.000 0.000 0.000 6.317 0.000 0.000 0.000 5.051" Properties=species:S:1:pos:R:3 comment="RbFeTe2N (PBE, relaxed)" magmom_total_mub_per_cell=6.7 mass_density_g_cm3=3.38 formation_energy_uncorrected_ev_per_atom=2.047 polymorph_energy_ev_per_fu=9.96 pbc="T T T"
Rb 0.000 0.000 0.000
Fe 3.159 3.159 2.525
Te 0.000 3.159 0.000
Te 3.159 0.000 0.000
N 0.000 0.000 2.525



5
Lattice="4.971 0.000 0.000 0.000 4.971 0.000 0.000 0.000 7.381" Properties=species:S:1:pos:R:3 comment="RbFeTeN2 (PBE, relaxed)" magmom_total_mub_per_cell=9.2 mass_density_g_cm3=2.70 formation_energy_uncorrected_ev_per_atom=2.521 polymorph_energy_ev_per_fu=6.79 pbc="T T T"
Rb 0.000 0.000 0.000
Fe 2.486 2.486 3.691
Te 0.000 0.000 3.691
N 0.000 2.486 0.000
N 2.486 0.000 0.000



12
Lattice="8.071 0.000 0.000 0.000 3.468 0.000 -2.665 0.000 7.790" Properties=species:S:1:pos:R:3 comment="RbUFeN3 (PBE, relaxed)" magmom_total_mub_per_cell=0.0 mass_density_g_cm3=6.42 formation_energy_uncorrected_ev_per_atom=-0.697 pbc="T T T"
Rb 1.040 0.867 1.814
Rb 4.366 2.601 5.976
U 0.429 2.601 6.581
U 4.978 0.867 1.208
Fe -1.085 0.867 4.691
Fe 6.492 2.601 3.099
N -0.318 2.601 4.425
N -0.911 0.867 6.582
N 3.580 2.601 0.990
N 1.827 0.867 6.800
N 6.318 2.601 1.208
N 5.725 0.867 3.365



8
Lattice="-2.460 2.460 4.844 2.460 -2.460 4.844 2.460 2.460 -4.844" Properties=species:S:1:pos:R:3 comment="FeRe2N (PBE, relaxed)" magmom_total_mub_per_cell=0.0 mass_density_g_cm3=12.52 formation_energy_uncorrected_ev_per_atom=0.704 pbc="T T T"
Fe 0.000 0.000 0.000
Fe 0.000 2.460 2.422
Re 1.230 -0.983 3.633
Re 1.478 1.230 1.211
Re 1.230 3.443 -1.211
Re 0.983 1.230 6.056
N 2.460 0.000 2.422
N 0.000 0.000 4.844



5
Lattice="3.874 0.000 0.000 0.000 3.874 0.000 0.000 0.000 3.959" Properties=species:S:1:pos:R:3 comment="Fe2ReRhN (PBE, relaxed)" magmom_total_mub_per_cell=4.1 mass_density_g_cm3=11.59 formation_energy_uncorrected_ev_per_atom=0.058 pbc="T T T"
Fe 0.000 1.937 0.000
Fe 1.937 0.000 0.000
Re 0.000 0.000 1.980
Rh 1.937 1.937 1.980
N 0.000 0.000 0.000



5
Lattice="5.050 0.000 0.000 0.000 5.050 0.000 0.000 0.000 3.716" Properties=species:S:1:pos:R:3 comment="FeReSe2N (PBE, relaxed)" magmom_total_mub_per_cell=3.5 mass_density_g_cm3=7.25 formation_energy_uncorrected_ev_per_atom=0.642 polymorph_energy_ev_per_fu=0.00 pbc="T T T"
Fe 0.000 0.000 0.000
Re 2.525 2.525 1.858
Se 0.000 2.525 1.858
Se 2.525 0.000 1.858
N 2.525 2.525 0.000



5
Lattice="3.628 0.000 0.000 0.000 3.628 0.000 0.000 0.000 5.076" Properties=species:S:1:pos:R:3 comment="FeReSeN2 (PBE, relaxed)" magmom_total_mub_per_cell=2.1 mass_density_g_cm3=8.67 formation_energy_uncorrected_ev_per_atom=1.433 pbc="T T T"
Fe 0.000 0.000 0.000
Re 1.814 1.814 2.538
Se 0.000 0.000 2.538
N 0.000 1.814 0.000
N 1.814 0.000 0.000



5
Lattice="4.818 0.000 0.000 0.000 4.818 0.000 0.000 0.000 3.334" Properties=species:S:1:pos:R:3 comment="FeReSe2N (PBE, relaxed)" magmom_total_mub_per_cell=2.0 mass_density_g_cm3=8.88 formation_energy_uncorrected_ev_per_atom=0.855 polymorph_energy_ev_per_fu=1.06 pbc="T T T"
Fe 0.000 0.000 0.000
Re 2.409 2.409 1.667
Se 0.000 2.409 0.000
Se 2.409 0.000 0.000
N 0.000 0.000 1.667



5
Lattice="4.536 0.000 0.000 0.000 4.536 0.000 0.000 0.000 4.348" Properties=species:S:1:pos:R:3 comment="Ta2FeReN (PBE, relaxed)" magmom_total_mub_per_cell=0.0 mass_density_g_cm3=11.47 formation_energy_uncorrected_ev_per_atom=1.943 polymorph_energy_ev_per_fu=11.57 pbc="T T T"
Ta 0.000 2.268 0.000
Ta 2.268 0.000 0.000
Fe 0.000 0.000 0.000
Re 0.000 0.000 2.174
N 2.268 2.268 2.174



5
Lattice="4.322 0.000 0.000 0.000 4.322 0.000 0.000 0.000 3.646" Properties=species:S:1:pos:R:3 comment="Ta2FeReN (PBE, relaxed)" magmom_total_mub_per_cell=1.7 mass_density_g_cm3=15.06 formation_energy_uncorrected_ev_per_atom=-0.372 polymorph_energy_ev_per_fu=0.00 pbc="T T T"
Ta 0.000 2.161 0.000
Ta 2.161 0.000 0.000
Fe 0.000 0.000 1.823
Re 2.161 2.161 1.823
N 0.000 0.000 0.000



5
Lattice="5.128 0.000 0.000 0.000 5.128 0.000 0.000 0.000 3.370" Properties=species:S:1:pos:R:3 comment="FeReTe2N (PBE, relaxed)" magmom_total_mub_per_cell=1.9 mass_density_g_cm3=9.58 formation_energy_uncorrected_ev_per_atom=0.816 polymorph_energy_ev_per_fu=0.58 pbc="T T T"
Fe 0.000 0.000 0.000
Re 2.564 2.564 1.685
Te 0.000 2.564 0.000
Te 2.564 0.000 0.000
N 0.000 0.000 1.685



5
Lattice="3.681 0.000 0.000 0.000 3.681 0.000 0.000 0.000 5.900" Properties=species:S:1:pos:R:3 comment="FeReTeN2 (PBE, relaxed)" magmom_total_mub_per_cell=2.5 mass_density_g_cm3=8.26 formation_energy_uncorrected_ev_per_atom=1.590 pbc="T T T"
Fe 0.000 0.000 0.000
Re 1.841 1.841 2.950
Te 0.000 0.000 2.950
N 0.000 1.841 0.000
N 1.841 0.000 0.000



5
Lattice="5.403 0.000 0.000 0.000 5.403 0.000 0.000 0.000 3.722" Properties=species:S:1:pos:R:3 comment="FeReTe2N (PBE, relaxed)" magmom_total_mub_per_cell=3.2 mass_density_g_cm3=7.81 formation_energy_uncorrected_ev_per_atom=0.700 polymorph_energy_ev_per_fu=0.00 pbc="T T T"
Fe 0.000 0.000 0.000
Re 2.701 2.701 1.861
Te 0.000 2.701 1.861
Te 2.701 0.000 1.861
N 2.701 2.701 0.000



20
Lattice="5.502 0.000 0.000 0.000 5.555 0.000 -5.481 0.000 7.759" Properties=species:S:1:pos:R:3 comment="Th2FeReN6 (PBE, relaxed)" magmom_total_mub_per_cell=3.1 mass_density_g_cm3=11.07 formation_energy_uncorrected_ev_per_atom=-0.766 pbc="T T T"
Th -0.015 0.227 1.945
Th -2.756 2.551 5.824
Th 2.777 3.004 1.935
Th 0.037 5.328 5.815
Fe 2.751 0.000 0.000
Fe 0.011 2.777 3.880
Re -2.741 0.000 3.880
Re 0.000 2.777 0.000
N -4.346 1.135 7.479
N -1.605 1.643 3.600
N -3.856 3.930 7.487
N -1.115 4.401 3.607
N -2.367 0.074 5.834
N 0.373 2.704 1.954
N -0.352 2.851 5.805
N 2.389 5.481 1.925
N 1.137 1.153 4.152
N 3.877 1.624 0.273
N 1.627 3.912 4.160
N 4.367 4.420 0.280



4
Lattice="1.394 0.805 6.416 -1.394 0.805 6.416 0.000 -1.609 6.416" Properties=species:S:1:pos:R:3 comment="Fe2RhN (PBE, relaxed)" magmom_total_mub_per_cell=4.3 mass_density_g_cm3=8.79 formation_energy_uncorrected_ev_per_atom=0.051 pbc="T T T"
Fe 0.000 0.000 4.293
Fe 0.000 0.000 14.955
Rh 0.000 0.000 0.000
N 0.000 0.000 9.624



8
Lattice="-2.227 2.227 4.352 2.227 -2.227 4.352 2.227 2.227 -4.352" Properties=species:S:1:pos:R:3 comment="FeRhN2 (PBE, relaxed)" magmom_total_mub_per_cell=0.0 mass_density_g_cm3=7.18 formation_energy_uncorrected_ev_per_atom=0.160 polymorph_energy_ev_per_fu=0.00 pbc="T T T"
Fe 0.000 0.000 0.000
Fe 0.000 2.227 2.176
Rh 2.227 0.000 2.176
Rh 0.000 0.000 4.352
N 3.341 0.941 -1.088
N 0.941 1.114 1.088
N -1.114 1.286 3.264
N 1.286 1.114 5.440



4
Lattice="1.365 0.788 6.172 -1.365 0.788 6.172 0.000 -1.576 6.172" Properties=species:S:1:pos:R:3 comment="FeRhN2 (PBE, relaxed)" magmom_total_mub_per_cell=1.3 mass_density_g_cm3=7.79 formation_energy_uncorrected_ev_per_atom=0.307 polymorph_energy_ev_per_fu=0.58 pbc="T T T"
Fe 0.000 0.000 0.000
Rh 0.000 0.000 9.258
N 0.000 0.000 7.305
N 0.000 0.000 11.212



4
Lattice="0.000 2.614 2.614 2.614 0.000 2.614 2.614 2.614 0.000" Properties=species:S:1:pos:R:3 comment="FeRhN2 (PBE, relaxed)" magmom_total_mub_per_cell=0.1 mass_density_g_cm3=8.68 formation_energy_uncorrected_ev_per_atom=1.116 polymorph_energy_ev_per_fu=3.82 pbc="T T T"
Fe 0.000 0.000 0.000
Rh 2.614 2.614 2.614
N 1.307 1.307 1.307
N 3.921 3.921 3.921



4
Lattice="1.384 0.799 6.512 -1.384 0.799 6.512 0.000 -1.598 6.512" Properties=species:S:1:pos:R:3 comment="Fe2RhN (PBE, relaxed)" magmom_total_mub_per_cell=4.7 mass_density_g_cm3=8.79 formation_energy_uncorrected_ev_per_atom=0.051 pbc="T T T"
Fe 0.000 0.000 0.000
Fe 0.000 0.000 4.214
Rh 0.000 0.000 8.611
N 0.000 0.000 11.784



8
Lattice="-2.974 2.974 2.537 2.974 -2.974 2.537 2.974 2.974 -2.537" Properties=species:S:1:pos:R:3 comment="Fe2RhN (PBE, relaxed)" magmom_total_mub_per_cell=7.5 mass_density_g_cm3=8.46 formation_energy_uncorrected_ev_per_atom=0.205 pbc="T T T"
Fe 1.487 0.849 -0.634
Fe 2.125 -1.487 3.171
Fe 1.487 2.125 1.902
Fe 0.849 4.461 0.634
Rh 2.974 0.000 1.268
Rh 0.000 0.000 2.537
N 0.000 0.000 0.000
N 0.000 2.974 1.268



8
Lattice="-2.560 2.560 4.677 2.560 -2.560 4.677 2.560 2.560 -4.677" Properties=species:S:1:pos:R:3 comment="FeRh2N (PBE, relaxed)" magmom_total_mub_per_cell=6.1 mass_density_g_cm3=7.47 formation_energy_uncorrected_ev_per_atom=0.522 pbc="T T T"
Fe 0.000 0.000 0.000
Fe 0.000 2.560 2.338
Rh 1.280 -0.849 3.508
Rh 1.711 1.280 1.169
Rh 1.280 3.410 -1.169
Rh 0.849 1.280 5.846
N 2.560 0.000 2.338
N 0.000 0.000 4.677